The following is a PBE+U calculation of an optimized crystal structure of K2Pm2FeO6, from the Alexandria database.

Spin magnetization (μB/cell): 3.9
Raw total energy (eV/cell): -70.8

Cell: 5.910 5.910 6.580 Å, 97.07 97.07 119.74°
Atoms (fractional coordinates):
K (0.157, 0.843, 0.000)
K (0.843, 0.157, 0.000)
Pm (0.333, 0.667, 0.500)
Pm (0.667, 0.333, 0.500)
Fe (0.000, 0.000, 0.500)
O (0.044, 0.353, 0.675)
O (0.225, 0.225, 0.334)
O (0.353, 0.044, 0.675)
O (0.647, 0.956, 0.325)
O (0.775, 0.775, 0.666)
O (0.956, 0.647, 0.325)